[1]
Entry from Alexandria via LeMat-Bulk: PmNdMgRu after structural relaxation (PBE-GGA).

Cell lengths 5.168, 5.168, 5.168 Å; angles 60.00, 60.00, 60.00 degrees
Atoms (fractional coordinates):
Ru: 0.750 0.750 0.750
Mg: 0.250 0.250 0.250
Nd: 0.000 0.000 0.000
Pm: 0.500 0.500 0.500

Results
Energy of formation from the pure elements = -0.075 eV/atom
Raw total energy = -5.17 eV per atom
Distance to the lowest polymorph of the same formula = 0.078 eV per atom
M_tot = 0.00 μB/atom
Crystal system = cubic

=====

[2]
Entry from Alexandria via LeMat-Bulk: Re2RuAu after structural relaxation (PBE-GGA).

Cell lengths 2.708, 2.708, 9.577 Å; angles 90.00, 90.00, 116.60 degrees
Atoms (fractional coordinates):
Au: 0.500 0.500 0.750
Re: 0.000 0.000 0.016
Re: 0.000 0.000 0.484
Ru: 0.500 0.500 0.250

Results
Energy of formation from the pure elements = 0.504 eV/atom
Raw total energy = -8.86 eV per atom
Distance to the lowest polymorph of the same formula = 0.292 eV per atom
M_tot = 0.00 μB/atom
Crystal system = orthorhombic

=====

[3]
Entry from Alexandria via LeMat-Bulk: CaAg2Cl after structural relaxation (PBE-GGA).

Cell lengths 3.738, 3.743, 7.449 Å; angles 74.42, 90.00, 90.00 degrees
Atoms (fractional coordinates):
Ca: 0.000 0.552 0.510
Ag: 0.000 0.771 0.104
Ag: 0.500 0.213 0.213
Cl: 0.500 0.964 0.674

Results
Raw total energy = -3.08 eV per atom
Distance to the lowest polymorph of the same formula = 0.000 eV per atom
M_tot = 0.00 μB/atom
ΔE_f (raw) = -0.70 eV/atom
Crystal system = monoclinic